First-principles (PBE-GGA) data for an optimized crystal structure of Sr2Sn3Rh4Au, as listed in the Alexandria database.

```
Sr2Sn3Rh4Au
1.0
4.486 0.000 0.000
0.000 4.486 0.000
0.000 0.000 11.061
Sr Sn Rh Au
2 3 4 1
Cartesian
0.000 2.243 2.727
2.243 0.000 8.334
0.000 0.000 0.000
0.000 2.243 6.922
2.243 0.000 4.139
0.000 0.000 5.531
0.000 2.243 9.538
2.243 0.000 1.523
2.243 2.243 5.531
2.243 2.243 0.000
```

**N(E_F)**: 4.9 states/eV/cell
**Size of the total moment**: 0.00 μB/cell
**VASP energy**: -5.36 eV/atom

***

First-principles (PBE-GGA) data for an optimized crystal structure of Pm3Al2In, as listed in the Alexandria database.

```
Pm3Al2In
1.0
3.737 0.000 0.000
0.000 3.737 0.000
0.000 0.000 11.355
Pm Al In
3 2 1
Cartesian
0.000 0.000 0.000
0.000 0.000 3.666
0.000 0.000 7.689
1.868 1.868 1.832
1.868 1.868 9.524
1.868 1.868 5.678
```

**N(E_F)**: 3.2 states/eV/cell
**Energy above the most stable polymorph in this dataset**: 0 meV/atom
**Size of the total moment**: 0.00 μB/cell
**VASP energy**: -4.49 eV/atom